An optimized crystal structure of Ce2ThPa, computed with PBE.

a = 4.0562 Å, b = 4.0562 Å, c = 8.2026 Å
α = 75.69°, β = 75.69°, γ = 60.00°
Last column: nearest neighbours and their distance in Å.
Fractional positions:
Pa 0.6724 0.6724 0.9828  6 Ce 2.75-2.89
Th 0.4937 0.4937 0.5190  6 Ce 3.22-3.44
Ce 0.0668 0.0668 0.7995  3 Pa 2.75
Ce 0.2671 0.2671 0.1988  3 Pa 2.89

For the excess energy over the best structure of this formula in the dataset, the calculation gives 171 kJ/mol of formula units. The calculated formation energy is 0.495 eV/atom. The value obtained for the total magnetization is 0.00 μB per formula unit. The space group is No. 160. The crystal system is trigonal.

***

An optimized crystal structure of Ce2ThPa, computed with PBE.

a = 3.3864 Å, b = 3.3864 Å, c = 9.5673 Å
α = 90.00°, β = 90.00°, γ = 90.00°
Last column: nearest neighbours and their distance in Å.
Fractional positions:
Th 0.5000 0.5000 0.5000  4 Th 3.39, 8 Ce 3.45
Ce 0.0000 0.0000 0.7594  4 Pa 3.32, 4 Ce 3.39, 4 Th 3.45
Ce 0.0000 0.0000 0.2406  4 Pa 3.32, 4 Ce 3.39, 4 Th 3.45
Pa 0.5000 0.5000 0.0000  8 Ce 3.32, 4 Pa 3.39

For the excess energy over the best structure of this formula in the dataset, the calculation gives 0 kJ/mol of formula units. The calculated formation energy is 0.051 eV/atom. The value obtained for the total magnetization is 0.00 μB per formula unit. The space group is No. 123. The crystal system is tetragonal.

***

An optimized crystal structure of CeThPa, computed with PBE.

a = 3.3114 Å, b = 5.3810 Å, c = 5.3810 Å
α = 120.00°, β = 90.00°, γ = 90.00°
Last column: nearest neighbours and their distance in Å.
Fractional positions:
Th 0.6666 0.6667 0.3333  2 Th 3.31, 6 Pa 3.52, 6 Ce 3.52
Ce 0.1665 0.0000 0.0000  3 Pa 3.11, 2 Ce 3.31
Pa 0.1669 0.3333 0.6667  3 Ce 3.11, 2 Pa 3.31

For the excess energy over the best structure of this formula in the dataset, the calculation gives 29 kJ/mol of formula units. The calculated formation energy is 0.168 eV/atom. The value obtained for the total magnetization is 0.00 μB per formula unit. The space group is No. 187. The crystal system is hexagonal.

***

An optimized crystal structure of CeTh2Pa, computed with PBE.

a = 4.8129 Å, b = 4.8904 Å, c = 4.8904 Å
α = 90.00°, β = 90.00°, γ = 90.00°
Last column: nearest neighbours and their distance in Å.
Fractional positions:
Th 0.0000 0.5000 0.0000  4 Ce 3.43, 4 Pa 3.43, 4 Th 3.46
Th 0.0000 0.0000 0.5000  4 Ce 3.43, 4 Pa 3.43, 4 Th 3.46
Pa 0.5000 0.0000 0.0000  8 Th 3.43, 4 Ce 3.46
Ce 0.5000 0.5000 0.5000  8 Th 3.43, 4 Pa 3.46

For the excess energy over the best structure of this formula in the dataset, the calculation gives 11 kJ/mol of formula units. The calculated formation energy is 0.078 eV/atom. The value obtained for the total magnetization is 0.00 μB per formula unit. The space group is No. 123. The crystal system is tetragonal.

***

An optimized crystal structure of CeTh2Pa2, computed with PBE.

a = 3.4167 Å, b = 3.4167 Å, c = 12.2524 Å
α = 98.01°, β = 98.01°, γ = 90.00°
Last column: nearest neighbours and their distance in Å.
Fractional positions:
Th 0.3973 0.3973 0.7946  4 Pa 3.40, 4 Th 3.42, 4 Ce 3.45
Th 0.6027 0.6027 0.2054  4 Pa 3.40, 4 Th 3.42, 4 Ce 3.45
Pa 0.7976 0.7976 0.5952  8 Pa 3.33-3.42, 4 Th 3.40
Pa 0.2024 0.2024 0.4048  8 Pa 3.33-3.42, 4 Th 3.40
Ce 0.0000 0.0000 0.0000  4 Ce 3.42, 8 Th 3.45

The calculated formation energy is 0.061 eV/atom. The value obtained for the total magnetization is 0.00 μB per formula unit. The space group is No. 139. The crystal system is tetragonal.

***

An optimized crystal structure of CeTh2Pa, computed with PBE.

a = 4.2428 Å, b = 4.2428 Å, c = 8.3346 Å
α = 75.25°, β = 75.25°, γ = 60.00°
Last column: nearest neighbours and their distance in Å.
Fractional positions:
Th 0.2561 0.2561 0.2317  3 Pa 3.09, 3 Ce 3.23
Th 0.0742 0.0742 0.7775  3 Pa 3.00, 3 Ce 3.32
Pa 0.6685 0.6685 0.9946  6 Th 3.00-3.09
Ce 0.5012 0.5012 0.4963  6 Th 3.23-3.32

For the excess energy over the best structure of this formula in the dataset, the calculation gives 265 kJ/mol of formula units. The calculated formation energy is 0.737 eV/atom. The value obtained for the total magnetization is 0.56 μB per formula unit. The space group is No. 160. The crystal system is trigonal.

***

An optimized crystal structure of Ce12Th7Pa, computed with PBE.

a = 9.5583 Å, b = 9.5583 Å, c = 9.5583 Å
α = 109.47°, β = 109.47°, γ = 109.47°
Last column: nearest neighbours and their distance in Å.
Fractional positions:
Th 0.0000 0.5000 0.0000  6 Ce 2.92
Th 0.5000 0.5000 0.0000  4 Ce 3.24
Th 0.5000 0.5000 0.5000  6 Ce 2.92
Th 0.5000 0.0000 0.0000  6 Ce 2.92
Th 0.0000 0.0000 0.5000  6 Ce 2.92
Th 0.0000 0.5000 0.5000  4 Ce 3.24
Th 0.5000 0.0000 0.5000  4 Ce 3.24
Pa 0.0000 0.0000 0.0000  12 Ce 3.37
Ce 0.0921 0.2571 0.8350  3 Th 2.92-3.24
Ce 0.1650 0.4222 0.2571  3 Th 2.92-3.24
Ce 0.7429 0.1650 0.9079  3 Th 2.92-3.24
Ce 0.8350 0.0921 0.2571  3 Th 2.92-3.24
Ce 0.8350 0.5778 0.7429  3 Th 2.92-3.24
Ce 0.1650 0.9079 0.7429  3 Th 2.92-3.24
Ce 0.2571 0.1650 0.4222  3 Th 2.92-3.24
Ce 0.2571 0.8350 0.0921  3 Th 2.92-3.24
Ce 0.4222 0.2571 0.1650  3 Th 2.92-3.24
Ce 0.5778 0.7429 0.8350  3 Th 2.92-3.24
Ce 0.7429 0.8350 0.5778  3 Th 2.92-3.24
Ce 0.9079 0.7429 0.1650  3 Th 2.92-3.24

The calculated formation energy is 0.861 eV/atom. The value obtained for the total magnetization is 0.01 μB per formula unit. The space group is No. 204. The crystal system is cubic.

***

An optimized crystal structure of Ce2ThPa, computed with PBE.

a = 4.7745 Å, b = 4.7848 Å, c = 4.7848 Å
α = 90.00°, β = 90.00°, γ = 90.00°
Last column: nearest neighbours and their distance in Å.
Fractional positions:
Ce 0.0000 0.0000 0.5000  4 Pa 3.38, 4 Th 3.38, 4 Ce 3.38
Ce 0.0000 0.5000 0.0000  4 Pa 3.38, 4 Th 3.38, 4 Ce 3.38
Pa 0.5000 0.5000 0.5000  8 Ce 3.38, 4 Th 3.38
Th 0.5000 0.0000 0.0000  8 Ce 3.38, 4 Pa 3.38

For the excess energy over the best structure of this formula in the dataset, the calculation gives 6 kJ/mol of formula units. The calculated formation energy is 0.066 eV/atom. The value obtained for the total magnetization is 0.00 μB per formula unit. The space group is No. 123. The crystal system is tetragonal.

***

An optimized crystal structure of Ce12Th3Pa, computed with PBE.

a = 4.7712 Å, b = 4.7712 Å, c = 19.1840 Å
α = 90.00°, β = 90.00°, γ = 90.00°
Last column: nearest neighbours and their distance in Å.
Fractional positions:
Th 0.0000 0.0000 0.5000  12 Ce 3.37-3.40
Th 0.0000 0.0000 0.7531  12 Ce 3.37-3.41
Th 0.0000 0.0000 0.2469  12 Ce 3.37-3.41
Ce 0.5000 0.5000 0.2462  4 Th 3.37, 8 Ce 3.40-3.41
Ce 0.0000 0.5000 0.8801  8 Ce 3.31-3.40, 2 Pa 3.31, 2 Th 3.41
Ce 0.5000 0.5000 0.7538  4 Th 3.37, 8 Ce 3.40-3.41
Ce 0.5000 0.0000 0.6266  8 Ce 3.37-3.41, 4 Th 3.40
Ce 0.0000 0.5000 0.3734  8 Ce 3.37-3.41, 4 Th 3.40
Ce 0.5000 0.0000 0.1199  8 Ce 3.31-3.40, 2 Pa 3.31, 2 Th 3.41
Ce 0.0000 0.5000 0.1199  8 Ce 3.31-3.40, 2 Pa 3.31, 2 Th 3.41
Ce 0.0000 0.5000 0.6266  8 Ce 3.37-3.41, 4 Th 3.40
Ce 0.5000 0.5000 0.0000  8 Ce 3.31, 4 Pa 3.37
Ce 0.5000 0.0000 0.3734  8 Ce 3.37-3.41, 4 Th 3.40
Ce 0.5000 0.0000 0.8801  2 Pa 3.31, 8 Ce 3.31-3.40, 2 Th 3.41
Ce 0.5000 0.5000 0.5000  4 Th 3.37, 8 Ce 3.40
Pa 0.0000 0.0000 0.0000  12 Ce 3.31-3.37

The calculated formation energy is 0.019 eV/atom. The value obtained for the total magnetization is 0.00 μB per formula unit. The space group is No. 123. The crystal system is tetragonal.

***

An optimized crystal structure of Ce6ThPa2, computed with PBE.

a = 3.2630 Å, b = 3.2630 Å, c = 25.9834 Å
α = 90.00°, β = 90.00°, γ = 120.00°
Last column: nearest neighbours and their distance in Å.
Fractional positions:
Ce 0.0000 0.0000 0.5558  1 Ce 2.90
Ce 0.0000 0.0000 0.4442  1 Ce 2.90
Ce 0.3333 0.6667 0.1160  9 Ce 3.26-3.43, 3 Th 3.55
Ce 0.0000 0.0000 0.2262  9 Ce 3.26-3.43, 3 Pa 3.40
Ce 0.3333 0.6667 0.8840  9 Ce 3.26-3.43, 3 Th 3.55
Ce 0.0000 0.0000 0.7738  9 Ce 3.26-3.43, 3 Pa 3.40
Pa 0.3333 0.6667 0.6650  6 Pa 3.26, 6 Ce 3.40-3.41
Pa 0.3333 0.6667 0.3350  6 Pa 3.26, 6 Ce 3.40-3.41
Th 0.0000 0.0000 0.0000  6 Th 3.26, 6 Ce 3.55

The calculated formation energy is 0.104 eV/atom. The value obtained for the total magnetization is 0.00 μB per formula unit. The space group is No. 187. The crystal system is hexagonal.

***

An optimized crystal structure of Ce2ThPa, computed with PBE.

a = 7.4903 Å, b = 4.8321 Å, c = 3.3541 Å
α = 90.00°, β = 116.43°, γ = 90.00°
Last column: nearest neighbours and their distance in Å.
Fractional positions:
Pa 0.7500 0.5000 0.2500  2 Th 3.35, 2 Pa 3.35, 8 Ce 3.36-3.37
Ce 0.9936 0.0000 0.9941  4 Ce 3.27-3.44, 4 Pa 3.36-3.37, 4 Th 3.41
Ce 0.5064 0.0000 0.5059  4 Ce 3.27-3.44, 4 Pa 3.36-3.37, 4 Th 3.41
Th 0.2500 0.5000 0.7500  2 Pa 3.35, 2 Th 3.35, 8 Ce 3.41

For the excess energy over the best structure of this formula in the dataset, the calculation gives 2 kJ/mol of formula units. The calculated formation energy is 0.055 eV/atom. The value obtained for the total magnetization is 0.00 μB per formula unit. The space group is No. 10. The crystal system is monoclinic.

***

An optimized crystal structure of CeThPa, computed with PBE.

a = 3.3807 Å, b = 3.3807 Å, c = 7.6536 Å
α = 102.76°, β = 102.76°, γ = 90.00°
Last column: nearest neighbours and their distance in Å.
Fractional positions:
Pa 0.3347 0.3347 0.6695  4 Ce 3.35, 4 Pa 3.38, 4 Th 3.40
Ce 0.9963 0.9963 0.9927  4 Pa 3.35, 4 Ce 3.38, 4 Th 3.47
Th 0.6689 0.6689 0.3378  4 Th 3.38, 4 Pa 3.40, 4 Ce 3.47

For the excess energy over the best structure of this formula in the dataset, the calculation gives 0 kJ/mol of formula units. The calculated formation energy is 0.066 eV/atom. The value obtained for the total magnetization is 0.00 μB per formula unit. The space group is No. 107. The crystal system is tetragonal.